--- one ---
Material: Zn2PbAu2
Method: DFT, GGA-PBE
State: relaxed

Cell and atoms, written as extended XYZ:
```
5
Lattice="-2.155 2.155 5.573 2.155 -2.155 5.573 2.155 2.155 -5.573" Properties=species:S:1:pos:R:3 pbc="T T T"
Zn 0.000 0.000 1.238
Zn 0.000 0.000 9.907
Pb 0.000 0.000 5.573
Au 2.155 0.000 2.786
Au 0.000 2.155 2.786
```

Computed properties:
Fermi-level density of states, states/eV/f.u.: 2.10
Crystal system: tetragonal
Symmetry: I4/mmm, No. 139
M_tot, μB per formula unit: 0.0

---

--- two ---
Material: Zn2PbAu2
Method: DFT, GGA-PBE
State: relaxed

Cell and atoms, written as extended XYZ:
```
5
Lattice="-1.997 1.997 6.411 1.997 -1.997 6.411 1.997 1.997 -6.411" Properties=species:S:1:pos:R:3 pbc="T T T"
Zn 1.997 0.000 3.205
Zn 0.000 1.997 3.205
Pb 0.000 0.000 0.000
Au 0.000 0.000 4.967
Au 0.000 0.000 7.854
```

Computed properties:
Fermi-level density of states, states/eV/f.u.: 1.61
Crystal system: tetragonal
Symmetry: I4/mmm, No. 139
M_tot, μB per formula unit: 0.0

---

On energetic grounds, two is preferred over the next structure by 0.085 eV/atom.